<P>
A plane-wave DFT calculation with PBE-GGA was carried out for a geometry-optimized AcIn4Pd4 structure.

abc: 6.7009 6.7009 8.9850
angles: 90.00 90.00 90.00
Last column: nearest neighbours and their distance in Å.
Positions (direct):
1 Ac 0.2500 0.7500 0.2500  4 Pd 3.31
2 Ac 0.7500 0.2500 0.7500  4 Pd 3.31
3 In 0.0131 0.2500 0.1426  5 Pd 2.74-2.77
4 In 0.2500 0.0131 0.6426  5 Pd 2.74-2.77
5 In 0.2500 0.4869 0.6426  5 Pd 2.74-2.77
6 In 0.4869 0.2500 0.1426  5 Pd 2.74-2.77
7 In 0.5131 0.7500 0.8574  5 Pd 2.74-2.77
8 In 0.7500 0.5131 0.3574  5 Pd 2.74-2.77
9 In 0.7500 0.9869 0.3574  5 Pd 2.74-2.77
10 In 0.9869 0.7500 0.8574  5 Pd 2.74-2.77
11 Pd 0.0371 0.2500 0.4508  5 In 2.74-2.77, 1 Pd 2.85
12 Pd 0.2500 0.0371 0.9508  5 In 2.74-2.77, 1 Pd 2.85
13 Pd 0.2500 0.4629 0.9508  5 In 2.74-2.77, 1 Pd 2.85
14 Pd 0.4629 0.2500 0.4508  5 In 2.74-2.77, 1 Pd 2.85
15 Pd 0.5371 0.7500 0.5492  5 In 2.74-2.77, 1 Pd 2.85
16 Pd 0.7500 0.5371 0.0492  5 In 2.74-2.77, 1 Pd 2.85
17 Pd 0.7500 0.9629 0.0492  5 In 2.74-2.77, 1 Pd 2.85
18 Pd 0.9629 0.7500 0.5492  5 In 2.74-2.77, 1 Pd 2.85

Results
Its density of states at the Fermi level is 0.564 states/eV/atom. The space group is P4_2/nmc, No. 137. The calculation puts the magnetization at 0.00 μB per formula unit.

<Q>
A plane-wave DFT calculation with PBE-GGA was carried out for a geometry-optimized AcIn4Pd4 structure.

abc: 6.3653 6.3653 9.7248
angles: 90.00 90.00 90.00
Last column: nearest neighbours and their distance in Å.
Positions (direct):
1 Ac 0.2500 0.7500 0.2500  4 In 3.46, 8 Pd 3.58
2 Ac 0.7500 0.2500 0.7500  4 In 3.46, 8 Pd 3.58
3 In 0.0264 0.2500 0.0568  5 Pd 2.71-2.89, 1 In 2.85
4 In 0.2500 0.0264 0.5568  5 Pd 2.71-2.89, 1 In 2.85
5 In 0.2500 0.4736 0.5568  5 Pd 2.71-2.89, 1 In 2.85
6 In 0.4736 0.2500 0.0568  5 Pd 2.71-2.89, 1 In 2.85
7 In 0.5264 0.7500 0.9432  5 Pd 2.71-2.89, 1 In 2.85
8 In 0.7500 0.5264 0.4432  5 Pd 2.71-2.89, 1 In 2.85
9 In 0.7500 0.9736 0.4432  5 Pd 2.71-2.89, 1 In 2.85
10 In 0.9736 0.7500 0.9432  5 Pd 2.71-2.89, 1 In 2.85
11 Pd 0.0338 0.2500 0.3399  5 In 2.71-2.89, 1 Pd 2.75
12 Pd 0.2500 0.0338 0.8399  5 In 2.71-2.89, 1 Pd 2.75
13 Pd 0.2500 0.4662 0.8399  5 In 2.71-2.89, 1 Pd 2.75
14 Pd 0.4662 0.2500 0.3399  5 In 2.71-2.89, 1 Pd 2.75
15 Pd 0.5338 0.7500 0.6601  5 In 2.71-2.89, 1 Pd 2.75
16 Pd 0.7500 0.5338 0.1601  5 In 2.71-2.89, 1 Pd 2.75
17 Pd 0.7500 0.9662 0.1601  5 In 2.71-2.89, 1 Pd 2.75
18 Pd 0.9662 0.7500 0.6601  5 In 2.71-2.89, 1 Pd 2.75

Results
Its density of states at the Fermi level is 0.520 states/eV/atom. The space group is P4_2/nmc, No. 137. The calculation puts the magnetization at 0.00 μB per formula unit.

Most stable of them? <P>.

<P>
A plane-wave DFT calculation with PBE-GGA was carried out for a geometry-optimized Ac2In5Pd3 structure.

abc: 9.4866 9.4866 9.4866
angles: 106.57 86.29 141.21
Last column: nearest neighbours and their distance in Å.
Positions (direct):
1 Ac 0.1471 0.2180 0.3651  4 Pd 3.42-3.61, 10 In 3.44-3.77
2 Ac 0.3529 0.7180 0.0709  4 Pd 3.42-3.61, 10 In 3.44-3.77
3 Ac 0.6471 0.2820 0.9291  4 Pd 3.42-3.61, 10 In 3.44-3.77
4 Ac 0.8529 0.7820 0.6349  4 Pd 3.42-3.61, 10 In 3.44-3.77
5 In 0.0410 0.7500 0.2910  3 Pd 2.80-2.89, 2 In 3.04
6 In 0.0837 0.6706 0.7543  3 Pd 2.73-2.75, 2 In 3.04
7 In 0.2500 0.2500 0.0000  4 Pd 2.80
8 In 0.4163 0.1706 0.5869  3 Pd 2.73-2.75, 2 In 3.04
9 In 0.4590 0.7500 0.7090  3 Pd 2.80-2.89, 2 In 3.04
10 In 0.5410 0.2500 0.2910  3 Pd 2.80-2.89, 2 In 3.04
11 In 0.5837 0.8294 0.4131  3 Pd 2.73-2.75, 2 In 3.04
12 In 0.7500 0.7500 0.0000  4 Pd 2.80
13 In 0.9163 0.3294 0.2457  3 Pd 2.73-2.75, 2 In 3.04
14 In 0.9590 0.2500 0.7090  3 Pd 2.80-2.89, 2 In 3.04
15 Pd 0.1455 0.8996 0.0451  5 In 2.73-2.80
16 Pd 0.2500 0.7500 0.5000  6 In 2.75-2.89
17 Pd 0.3545 0.3996 0.7540  5 In 2.73-2.80
18 Pd 0.6455 0.6004 0.2460  5 In 2.73-2.80
19 Pd 0.7500 0.2500 0.5000  6 In 2.75-2.89
20 Pd 0.8545 0.1004 0.9549  5 In 2.73-2.80

Results
Its density of states at the Fermi level is 0.533 states/eV/atom. The space group is Ibam, No. 72. The calculation puts the magnetization at 0.00 μB per formula unit.

<Q>
A plane-wave DFT calculation with PBE-GGA was carried out for a geometry-optimized Ac2In5Pd3 structure.

abc: 13.9263 13.9263 7.6227
angles: 90.00 90.00 160.65
Last column: nearest neighbours and their distance in Å.
Positions (direct):
1 Ac 0.0246 0.9754 0.5000  3 Pd 2.98-3.26
2 Ac 0.3246 0.6754 0.4266  4 Pd 3.27-3.51, 9 In 3.38-3.57
3 Ac 0.6754 0.3246 0.9266  4 Pd 3.27-3.51, 9 In 3.38-3.57
4 Ac 0.9754 0.0246 0.0000  3 Pd 2.98-3.26
5 In 0.0985 0.9015 0.1224  3 Pd 2.81-2.90, 1 In 3.14
6 In 0.2059 0.7941 0.6159  4 Pd 2.82-2.90, 1 In 3.00
7 In 0.2096 0.7904 0.2222  3 Pd 2.82-2.87, 2 In 3.00-3.14
8 In 0.3727 0.6273 0.9678  2 Pd 2.83-2.92
9 In 0.4469 0.5531 0.3327  4 Pd 2.89-2.91
10 In 0.5531 0.4469 0.8327  4 Pd 2.89-2.91
11 In 0.6273 0.3727 0.4678  2 Pd 2.83-2.92
12 In 0.7904 0.2096 0.7222  3 Pd 2.82-2.87, 2 In 3.00-3.14
13 In 0.7941 0.2059 0.1159  4 Pd 2.82-2.90, 1 In 3.00
14 In 0.9015 0.0985 0.6224  3 Pd 2.81-2.90, 1 In 3.14
15 Pd 0.1096 0.8904 0.7434  4 In 2.82-2.90, 1 Ac 2.98
16 Pd 0.2706 0.7294 0.9163  7 In 2.82-2.90
17 Pd 0.4523 0.5477 0.7132  5 In 2.81-2.92
18 Pd 0.5477 0.4523 0.2132  5 In 2.81-2.92
19 Pd 0.7294 0.2706 0.4163  7 In 2.82-2.90
20 Pd 0.8904 0.1096 0.2434  4 In 2.82-2.90, 1 Ac 2.98

Results
Its density of states at the Fermi level is 0.544 states/eV/atom. The space group is Cmc2_1, No. 36. The calculation puts the magnetization at 0.00 μB per formula unit.

Most stable of them? <Q>.

<P>
A plane-wave DFT calculation with PBE-GGA was carried out for a geometry-optimized AcInPd4 structure.

abc: 5.5392 5.5392 5.5392
angles: 60.00 60.00 60.00
Last column: nearest neighbours and their distance in Å.
Positions (direct):
1 Ac 0.0000 0.0000 0.0000  12 Pd 3.25, 4 In 3.39
2 In 0.7500 0.7500 0.7500  12 Pd 3.25, 4 Ac 3.39
3 Pd 0.3759 0.3759 0.3759  6 Pd 2.75-2.79
4 Pd 0.3759 0.3759 0.8722  6 Pd 2.75-2.79
5 Pd 0.3759 0.8722 0.3759  6 Pd 2.75-2.79
6 Pd 0.8722 0.3759 0.3759  6 Pd 2.75-2.79

Results
Its density of states at the Fermi level is 0.586 states/eV/atom. The space group is F-43m, No. 216. The calculation puts the magnetization at 0.00 μB per formula unit.

<Q>
A plane-wave DFT calculation with PBE-GGA was carried out for a geometry-optimized AcInPd4 structure.

abc: 8.0215 4.1834 7.3986
angles: 90.00 90.00 90.00
Last column: nearest neighbours and their distance in Å.
Positions (direct):
1 Ac 0.2500 0.0000 0.1699  8 Pd 3.06-3.16, 1 In 3.26
2 Ac 0.7500 0.0000 0.8301  8 Pd 3.06-3.16, 1 In 3.26
3 In 0.2500 0.0000 0.7295  8 Pd 2.63-2.83
4 In 0.7500 0.0000 0.2705  8 Pd 2.63-2.83
5 Pd 0.0000 0.0000 0.5000  2 In 2.63, 4 Pd 2.91
6 Pd 0.0366 0.5000 0.8014  2 In 2.75, 5 Pd 2.98-3.07
7 Pd 0.2500 0.5000 0.4720  2 In 2.83, 8 Pd 2.91-3.06, 2 Ac 3.06
8 Pd 0.4634 0.5000 0.8014  2 In 2.75, 5 Pd 2.98-3.07
9 Pd 0.5000 0.0000 0.5000  2 In 2.63, 4 Pd 2.91
10 Pd 0.5366 0.5000 0.1986  2 In 2.75, 5 Pd 2.98-3.07
11 Pd 0.7500 0.5000 0.5280  2 In 2.83, 8 Pd 2.91-3.06, 2 Ac 3.06
12 Pd 0.9634 0.5000 0.1986  2 In 2.75, 5 Pd 2.98-3.07

Results
Its density of states at the Fermi level is 0.369 states/eV/atom. The space group is Pmma, No. 51. The calculation puts the magnetization at 0.00 μB per formula unit.

Most stable of them? <P>.

<P>
A plane-wave DFT calculation with PBE-GGA was carried out for a geometry-optimized Ac3In2Pd7 structure.

abc: 4.4051 4.3069 14.7789
angles: 90.00 98.54 90.00
Last column: nearest neighbours and their distance in Å.
Positions (direct):
1 Ac 0.0000 0.0000 0.0000  12 Pd 3.05-3.10
2 Ac 0.3151 0.5000 0.6276  6 Pd 3.25-3.45, 4 In 3.51
3 Ac 0.6849 0.5000 0.3724  6 Pd 3.25-3.45, 4 In 3.51
4 In 0.1280 0.0000 0.2572  5 Pd 2.68-2.72
5 In 0.8720 0.0000 0.7428  5 Pd 2.68-2.72
6 Pd 0.0742 0.5000 0.1476  2 In 2.68
7 Pd 0.2216 0.0000 0.4433  1 In 2.72, 2 Pd 2.75-2.76
8 Pd 0.4259 0.0000 0.8509  2 In 2.71
9 Pd 0.5000 0.5000 0.0000  8 Pd 3.06-3.09, 4 Ac 3.08
10 Pd 0.5741 0.0000 0.1491  2 In 2.71
11 Pd 0.7784 0.0000 0.5567  1 In 2.72, 2 Pd 2.75-2.76
12 Pd 0.9258 0.5000 0.8524  2 In 2.68

Results
Its density of states at the Fermi level is 0.501 states/eV/atom. The space group is P2/m, No. 10. The calculation puts the magnetization at 0.00 μB per formula unit.

<Q>
A plane-wave DFT calculation with PBE-GGA was carried out for a geometry-optimized Ac3In2Pd7 structure.

abc: 4.3490 4.2253 15.9899
angles: 90.00 96.41 90.00
Last column: nearest neighbours and their distance in Å.
Positions (direct):
1 Ac 0.0000 0.0000 0.0000  4 Pd 3.03
2 Ac 0.1797 0.0000 0.4032  8 Pd 2.97-3.07
3 Ac 0.8203 0.0000 0.5968  8 Pd 2.97-3.07
4 In 0.4326 0.5000 0.8333  5 Pd 2.65-2.72
5 In 0.5674 0.5000 0.1667  5 Pd 2.65-2.72
6 Pd 0.1106 0.5000 0.2694  2 In 2.71-2.72, 2 Ac 3.00, 2 Pd 3.01
7 Pd 0.3232 0.5000 0.5813  4 Ac 3.01-3.07, 5 Pd 3.12-3.23
8 Pd 0.3810 0.0000 0.7260  2 In 2.71, 2 Ac 2.97-3.01, 2 Pd 3.01
9 Pd 0.5000 0.5000 0.0000  2 In 2.65
10 Pd 0.6190 0.0000 0.2740  2 In 2.71, 2 Ac 2.97-3.01, 2 Pd 3.01
11 Pd 0.6768 0.5000 0.4187  4 Ac 3.01-3.07, 5 Pd 3.12-3.23
12 Pd 0.8894 0.5000 0.7306  2 In 2.71-2.72, 2 Ac 3.00, 2 Pd 3.01

Results
Its density of states at the Fermi level is 0.370 states/eV/atom. The space group is P2/m, No. 10. The calculation puts the magnetization at 0.00 μB per formula unit.

Most stable of them? <P>.